1.
The following is a PBE-GGA calculation of an optimized crystal structure of TeMo2AuS, from the Alexandria database.

Results
Magnetic moment: 6.60 Bohr magnetons per cell
Uncorrected energy: -23.52 eV for the cell shown
Crystal system: tetragonal

Lattice parameters (Å, degrees): 5.2114 5.2114 4.9776 90.00 90.00 90.00
Space group P4/mmm (No. 123)
Inequivalent atoms, fractional coordinates:
Te1 0.0000 0.0000 0.0000 [1 per cell]
Mo1 0.0000 0.5000 0.0000 [2 per cell]
Au1 0.5000 0.5000 0.5000 [1 per cell]
S1 0.0000 0.0000 0.5000 [1 per cell]

2.
The following is a PBE-GGA calculation of an optimized crystal structure of TeMo2AuS, from the Alexandria database.

Results
Magnetic moment: 7.00 Bohr magnetons per cell
Uncorrected energy: -23.51 eV for the cell shown
Crystal system: tetragonal

Lattice parameters (Å, degrees): 5.2782 5.2782 5.0706 90.00 90.00 90.00
Space group P4/mmm (No. 123)
Inequivalent atoms, fractional coordinates:
Te1 0.0000 0.0000 0.0000 [1 per cell]
Mo1 0.0000 0.5000 0.0000 [2 per cell]
Au1 0.0000 0.0000 0.5000 [1 per cell]
S1 0.5000 0.5000 0.5000 [1 per cell]

3.
The following is a PBE-GGA calculation of an optimized crystal structure of Ti2MoAuS, from the Alexandria database.

Results
Magnetic moment: 0.00 Bohr magnetons per cell
Uncorrected energy: -26.91 eV for the cell shown
ΔE to the lowest computed polymorph: 916 meV per atom
Crystal system: tetragonal

Lattice parameters (Å, degrees): 4.8951 4.8951 4.5845 90.00 90.00 90.00
Space group P4/mmm (No. 123)
Inequivalent atoms, fractional coordinates:
Ti1 0.0000 0.5000 0.0000 [2 per cell]
Mo1 0.0000 0.0000 0.5000 [1 per cell]
Au1 0.5000 0.5000 0.0000 [1 per cell]
S1 0.5000 0.5000 0.5000 [1 per cell]

4.
The following is a PBE-GGA calculation of an optimized crystal structure of Ti2MoAuS, from the Alexandria database.

Results
Magnetic moment: 1.28 Bohr magnetons per cell
Uncorrected energy: -31.49 eV for the cell shown
ΔE to the lowest computed polymorph: 0 meV per atom
Crystal system: tetragonal

Lattice parameters (Å, degrees): 4.8478 4.8478 4.4712 90.00 90.00 90.00
Space group P4/mmm (No. 123)
Inequivalent atoms, fractional coordinates:
Ti1 0.0000 0.5000 0.0000 [2 per cell]
Mo1 0.0000 0.0000 0.0000 [1 per cell]
Au1 0.5000 0.5000 0.5000 [1 per cell]
S1 0.0000 0.0000 0.5000 [1 per cell]

5.
The following is a PBE-GGA calculation of an optimized crystal structure of VMoAuS2, from the Alexandria database.

Results
Magnetic moment: 4.76 Bohr magnetons per cell
Uncorrected energy: -28.59 eV for the cell shown
Crystal system: tetragonal

Lattice parameters (Å, degrees): 4.4641 4.4641 5.0944 90.00 90.00 90.00
Space group P4/mmm (No. 123)
Inequivalent atoms, fractional coordinates:
V1 0.0000 0.0000 0.0000 [1 per cell]
Mo1 0.5000 0.5000 0.5000 [1 per cell]
Au1 0.0000 0.0000 0.5000 [1 per cell]
S1 0.0000 0.5000 0.0000 [2 per cell]

6.
The following is a PBE-GGA calculation of an optimized crystal structure of Zr2MoAuS, from the Alexandria database.

Results
Magnetic moment: 0.84 Bohr magnetons per cell
Uncorrected energy: -29.49 eV for the cell shown
Crystal system: tetragonal

Lattice parameters (Å, degrees): 5.1839 5.1839 4.8644 90.00 90.00 90.00
Space group P4/mmm (No. 123)
Inequivalent atoms, fractional coordinates:
Zr1 0.0000 0.5000 0.0000 [2 per cell]
Mo1 0.0000 0.0000 0.5000 [1 per cell]
Au1 0.0000 0.0000 0.0000 [1 per cell]
S1 0.5000 0.5000 0.5000 [1 per cell]

7.
The following is a PBE-GGA calculation of an optimized crystal structure of SbMoAu, from the Alexandria database.

Results
Magnetic moment: 0.00 Bohr magnetons per cell
Uncorrected energy: -17.01 eV for the cell shown
ΔE to the lowest computed polymorph: 38 meV per atom
Crystal system: trigonal

Lattice parameters (Å, degrees): 3.1963 3.1963 6.6815 90.00 90.00 120.00
Space group P3m1 (No. 156)
Inequivalent atoms, fractional coordinates:
Sb1 0.0000 0.0000 0.0000 [1 per cell]
Mo1 0.3333 0.6667 0.6941 [1 per cell]
Au1 0.6667 0.3333 0.3728 [1 per cell]

8.
The following is a PBE-GGA calculation of an optimized crystal structure of Sb2MoAu4, from the Alexandria database.

Results
Magnetic moment: 0.00 Bohr magnetons per cell
Uncorrected energy: -55.01 eV for the cell shown
Crystal system: tetragonal

Lattice parameters (Å, degrees): 5.1064 5.1064 13.8171 90.00 90.00 90.00
Space group I4/mmm (No. 139)
Inequivalent atoms, fractional coordinates:
Sb1 0.0000 0.0000 0.1143 [4 per cell]
Mo1 0.0000 0.0000 0.5000 [2 per cell]
Au1 0.0000 0.0000 0.3078 [4 per cell]
Au2 0.0000 0.5000 0.0000 [4 per cell]

9.
The following is a PBE-GGA calculation of an optimized crystal structure of SbMoAu2, from the Alexandria database.

Results
Magnetic moment: 0.81 Bohr magnetons per cell
Uncorrected energy: -60.70 eV for the cell shown
Crystal system: trigonal

Lattice parameters (Å, degrees): 3.1038 3.1038 27.8272 90.00 90.00 120.00
Space group R3m (No. 160, hexagonal axes)
Inequivalent atoms, fractional coordinates:
Sb1 0.0000 0.0000 0.0000 [3 per cell]
Mo1 0.0000 0.0000 0.7454 [3 per cell]
Au1 0.0000 0.0000 0.2386 [3 per cell]
Au2 0.0000 0.0000 0.4895 [3 per cell]

10.
The following is a PBE-GGA calculation of an optimized crystal structure of SbMoAu2, from the Alexandria database.

Results
Magnetic moment: 0.00 Bohr magnetons per cell
Uncorrected energy: -40.72 eV for the cell shown
Crystal system: monoclinic

Lattice parameters (Å, degrees): 12.0590 3.0387 4.5842 90.00 109.95 90.00
Space group C2/m (No. 12)
Inequivalent atoms, fractional coordinates:
Sb1 0.0000 0.0000 0.0000 [2 per cell]
Mo1 0.0000 0.5000 0.5000 [2 per cell]
Au1 0.2137 0.0000 0.7168 [4 per cell]

11.
The following is a PBE-GGA calculation of an optimized crystal structure of SbMo2Au, from the Alexandria database.

Results
Magnetic moment: 0.00 Bohr magnetons per cell
Uncorrected energy: -83.63 eV for the cell shown
Crystal system: trigonal

Lattice parameters (Å, degrees): 3.1572 3.1572 26.8339 90.00 90.00 120.00
Space group R3m (No. 160, hexagonal axes)
Inequivalent atoms, fractional coordinates:
Sb1 0.0000 0.0000 0.0000 [3 per cell]
Mo1 0.0000 0.0000 0.2458 [3 per cell]
Mo2 0.0000 0.0000 0.5132 [3 per cell]
Au1 0.0000 0.0000 0.7627 [3 per cell]

12.
The following is a PBE-GGA calculation of an optimized crystal structure of Sb2MoAu, from the Alexandria database.

Results
Magnetic moment: 0.77 Bohr magnetons per cell
Uncorrected energy: -21.15 eV for the cell shown
Crystal system: tetragonal

Lattice parameters (Å, degrees): 3.1461 3.1461 8.8748 90.00 90.00 90.00
Space group P4mm (No. 99)
Inequivalent atoms, fractional coordinates:
Sb1 0.0000 0.0000 0.0000 [1 per cell]
Sb2 0.5000 0.5000 0.3505 [1 per cell]
Mo1 0.5000 0.5000 0.7931 [1 per cell]
Au1 0.0000 0.0000 0.5883 [1 per cell]

13.
The following is a PBE-GGA calculation of an optimized crystal structure of SbMo2Au, from the Alexandria database.

Results
Magnetic moment: 0.01 Bohr magnetons per cell
Uncorrected energy: -55.24 eV for the cell shown
Crystal system: tetragonal

Lattice parameters (Å, degrees): 4.1227 4.1227 8.2422 90.00 90.00 90.00
Space group I-4m2 (No. 119)
Inequivalent atoms, fractional coordinates:
Sb1 0.0000 0.0000 0.0000 [2 per cell]
Mo1 0.0000 0.0000 0.5000 [2 per cell]
Mo2 0.0000 0.5000 0.2500 [2 per cell]
Au1 0.0000 0.5000 0.7500 [2 per cell]

14.
The following is a PBE-GGA calculation of an optimized crystal structure of Sb2MoAu, from the Alexandria database.

Results
Magnetic moment: 7.66 Bohr magnetons per cell
Uncorrected energy: -81.75 eV for the cell shown
Crystal system: cubic

Lattice parameters (Å, degrees): 6.9457 6.9457 6.9457 90.00 90.00 90.00
Space group Fm-3m (No. 225)
Inequivalent atoms, fractional coordinates:
Sb1 0.2500 0.2500 0.2500 [8 per cell]
Mo1 0.0000 0.0000 0.0000 [4 per cell]
Au1 0.0000 0.0000 0.5000 [4 per cell]

15.
The following is a PBE-GGA calculation of an optimized crystal structure of SbMo2Au, from the Alexandria database.

Results
Magnetic moment: 0.00 Bohr magnetons per cell
Uncorrected energy: -28.04 eV for the cell shown
Crystal system: tetragonal

Lattice parameters (Å, degrees): 3.2609 3.2609 7.0739 90.00 90.00 90.00
Space group P4mm (No. 99)
Inequivalent atoms, fractional coordinates:
Sb1 0.0000 0.0000 0.0000 [1 per cell]
Mo1 0.0000 0.0000 0.5505 [1 per cell]
Mo2 0.5000 0.5000 0.7381 [1 per cell]
Au1 0.5000 0.5000 0.3023 [1 per cell]